Here is crystalline Er3GaPt2 at its relaxed geometry from the Alexandria database. Energies are from PBE-GGA.

Lattice parameters (Å, degrees): 4.259 11.016 11.569 90.00 90.00 90.00
Sites, in units of the cell vectors:
1 Pt 0.250 0.686 0.488
2 Pt 0.750 0.314 0.512
3 Pt 0.750 0.186 0.012
4 Pt 0.250 0.000 0.322
5 Pt 0.750 0.500 0.178
6 Pt 0.750 0.000 0.678
7 Pt 0.250 0.500 0.822
8 Pt 0.250 0.814 0.988
9 Er 0.250 0.375 0.047
10 Er 0.250 0.425 0.378
11 Er 0.750 0.575 0.622
12 Er 0.250 0.679 0.202
13 Er 0.250 0.125 0.547
14 Er 0.750 0.625 0.953
15 Er 0.750 0.875 0.453
16 Er 0.750 0.925 0.122
17 Er 0.750 0.179 0.298
18 Er 0.750 0.321 0.798
19 Er 0.250 0.075 0.878
20 Er 0.250 0.821 0.702
21 Ga 0.250 0.124 0.131
22 Ga 0.750 0.624 0.369
23 Ga 0.250 0.376 0.631
24 Ga 0.750 0.876 0.869

Output
Its formation energy is -1.01 eV/atom. Its space group is Pnma, No. 62. The density of states at the Fermi level is 0.656 states/eV/atom. The value obtained for the total energy is -5.8060 eV per atom. As for the calculated volume: 22.61 Å³/atom.

Here is crystalline Er2Ga3Pt5 at its relaxed geometry from the Alexandria database. Energies are from PBE-GGA.

Lattice parameters (Å, degrees): 5.674 8.536 8.536 83.78 70.59 70.59
Sites, in units of the cell vectors:
1 Pt 0.478 0.772 0.772
2 Pt 0.250 0.500 0.500
3 Pt 0.750 0.500 0.500
4 Pt 0.022 0.228 0.228
5 Pt 0.097 0.074 0.732
6 Pt 0.903 0.926 0.268
7 Pt 0.403 0.268 0.926
8 Pt 0.978 0.772 0.772
9 Pt 0.597 0.732 0.074
10 Pt 0.522 0.228 0.228
11 Ga 0.137 0.243 0.482
12 Ga 0.637 0.482 0.243
13 Ga 0.363 0.518 0.757
14 Ga 0.750 0.000 0.000
15 Ga 0.250 0.000 0.000
16 Ga 0.863 0.757 0.518
17 Er 0.136 0.589 0.140
18 Er 0.636 0.140 0.589
19 Er 0.864 0.411 0.860
20 Er 0.364 0.860 0.411

Output
The value obtained for the distance to the lowest polymorph of the same formula is 39 meV per atom. Its formation energy is -0.93 eV/atom. Its space group is Ibam, No. 72. The density of states at the Fermi level is 0.353 states/eV/atom. The value obtained for the total energy is -5.7739 eV per atom. As for the calculated volume: 18.39 Å³/atom.

Here is crystalline ErGaPt at its relaxed geometry from the Alexandria database. Energies are from PBE-GGA.

Lattice parameters (Å, degrees): 4.427 6.802 7.707 90.00 90.00 90.00
Sites, in units of the cell vectors:
1 Ga 0.250 0.672 0.426
2 Ga 0.250 0.172 0.074
3 Ga 0.750 0.828 0.926
4 Ga 0.750 0.328 0.574
5 Er 0.750 0.485 0.199
6 Er 0.250 0.515 0.801
7 Er 0.250 0.015 0.699
8 Er 0.750 0.985 0.301
9 Pt 0.750 0.228 0.900
10 Pt 0.250 0.772 0.100
11 Pt 0.750 0.728 0.600
12 Pt 0.250 0.272 0.400

Output
Its formation energy is -1.12 eV/atom. Its space group is Pnma, No. 62. The density of states at the Fermi level is 0.584 states/eV/atom. The value obtained for the total energy is -5.6664 eV per atom. As for the calculated volume: 19.34 Å³/atom.

Here is crystalline ErGaPt4 at its relaxed geometry from the Alexandria database. Energies are from PBE-GGA.

Lattice parameters (Å, degrees): 5.354 5.354 5.354 60.00 60.00 60.00
Sites, in units of the cell vectors:
1 Pt 0.625 0.625 0.625
2 Pt 0.625 0.124 0.625
3 Pt 0.124 0.625 0.625
4 Pt 0.625 0.625 0.124
5 Ga 0.000 0.000 0.000
6 Er 0.250 0.250 0.250

Output
The value obtained for the distance to the lowest polymorph of the same formula is 93 meV per atom. Its formation energy is -0.76 eV/atom. Its space group is F-43m, No. 216. The density of states at the Fermi level is 0.463 states/eV/atom. The value obtained for the total energy is -6.0538 eV per atom. As for the calculated volume: 18.09 Å³/atom.

Here is crystalline ErGaPt4 at its relaxed geometry from the Alexandria database. Energies are from PBE-GGA.

Lattice parameters (Å, degrees): 3.880 6.729 8.247 90.00 103.61 90.00
Sites, in units of the cell vectors:
1 Pt 0.674 0.958 0.348
2 Pt 0.674 0.542 0.348
3 Pt 0.326 0.042 0.652
4 Pt 0.500 0.500 0.000
5 Pt 0.925 0.250 0.849
6 Pt 0.075 0.750 0.151
7 Pt 0.500 0.000 0.000
8 Pt 0.326 0.458 0.652
9 Ga 0.236 0.750 0.472
10 Ga 0.764 0.250 0.528
11 Er 0.901 0.750 0.802
12 Er 0.099 0.250 0.198

Output
The value obtained for the distance to the lowest polymorph of the same formula is 0 meV per atom. Its formation energy is -0.85 eV/atom. Its space group is Cmcm, No. 63. The density of states at the Fermi level is 0.450 states/eV/atom. The value obtained for the total energy is -6.1471 eV per atom. As for the calculated volume: 17.44 Å³/atom.

Here is crystalline Er3Ga5Pt6 at its relaxed geometry from the Alexandria database. Energies are from PBE-GGA.

Lattice parameters (Å, degrees): 4.289 8.919 13.309 90.00 90.00 90.00
Sites, in units of the cell vectors:
1 Pt 0.500 0.398 0.193
2 Pt 0.000 0.602 0.693
3 Pt 0.000 0.436 0.500
4 Pt 0.500 0.398 0.807
5 Pt 0.500 0.026 0.362
6 Pt 0.500 0.983 0.000
7 Pt 0.000 0.974 0.138
8 Pt 0.500 0.026 0.638
9 Pt 0.000 0.602 0.307
10 Pt 0.000 0.017 0.500
11 Pt 0.000 0.974 0.862
12 Pt 0.500 0.564 0.000
13 Ga 0.000 0.882 0.327
14 Ga 0.500 0.480 0.620
15 Ga 0.000 0.520 0.120
16 Ga 0.000 0.520 0.880
17 Ga 0.500 0.230 0.500
18 Ga 0.500 0.118 0.827
19 Ga 0.500 0.480 0.380
20 Ga 0.000 0.882 0.673
21 Ga 0.000 0.770 0.000
22 Ga 0.500 0.118 0.173
23 Er 0.000 0.245 0.689
24 Er 0.500 0.770 0.500
25 Er 0.500 0.755 0.189
26 Er 0.000 0.230 0.000
27 Er 0.500 0.755 0.811
28 Er 0.000 0.245 0.311

Output
Its formation energy is -0.97 eV/atom. Its space group is Pmmn, No. 59. The density of states at the Fermi level is 0.434 states/eV/atom. The value obtained for the total energy is -5.6140 eV per atom. As for the calculated volume: 18.18 Å³/atom.

- total energy of number 2 (Er2Ga3Pt5)?
  -5.7739 eV per atom